[1]
4
Lattice="4.2462 -2.0005 -2.0490 -1.7890 4.3396 2.0490 -2.2884 -0.0562 4.5816" Properties=species:S:1:pos:R:3 comment="Be2IrOs PBE-GGA relaxed" e_above_lowest_polymorph_mev_per_atom=1219 magmom_total_mub_per_atom=0.000 n_ef_per_ev_atom=1.10 pbc="T T T"
Be -1.0260 1.0779 1.6685
Be -3.0514 3.2055 4.9620
Os 0.0000 0.0000 0.0000
Ir -2.0387 2.1417 3.3153

[2]
4
Lattice="4.8549 0.0019 0.0000 2.6263 4.0832 0.0000 -3.7406 -2.0426 2.3251" Properties=species:S:1:pos:R:3 comment="Be2IrOs PBE-GGA relaxed" e_above_lowest_polymorph_mev_per_atom=242 magmom_total_mub_per_atom=0.000 n_ef_per_ev_atom=0.89 pbc="T T T"
Be 0.0000 0.0000 0.0000
Be 1.3131 2.0416 1.1625
Ir 3.7406 2.0426 0.0000
Os 2.4275 0.0009 1.1625

[3]
6
Lattice="-2.9607 3.0164 0.2408 -0.7933 -0.4486 -4.1342 -1.6482 -4.8286 3.0077" Properties=species:S:1:pos:R:3 comment="PaBe2Ir2Os PBE-GGA relaxed" final_energy_ev_per_atom=-7.6988 magmom_total_mub_per_atom=0.000 n_ef_per_ev_atom=0.86 pbc="T T T"
Be -3.9237 -0.7742 -1.3306
Be -1.4784 -1.4866 0.4450
Ir -3.2429 -0.2642 0.6509
Ir -2.1592 -1.9966 -1.5366
Os 0.0000 0.0000 0.0000
Pa -1.8770 1.2839 -1.9467

[4]
10
Lattice="4.0384 0.0000 0.0000 0.0000 4.0384 0.0000 0.0000 0.0000 9.1803" Properties=species:S:1:pos:R:3 comment="Pa2Be4Ir3Os PBE-GGA relaxed" final_energy_ev_per_atom=-7.7147 magmom_total_mub_per_atom=0.000 n_ef_per_ev_atom=0.75 pbc="T T T"
Be 0.0000 0.0000 0.0000
Be 2.0192 2.0192 0.0000
Be 0.0000 2.0192 3.4486
Be 2.0192 0.0000 5.7318
Ir 2.0192 0.0000 8.0305
Ir 0.0000 0.0000 4.5902
Ir 0.0000 2.0192 1.1499
Pa 0.0000 2.0192 6.7474
Pa 2.0192 0.0000 2.4330
Os 2.0192 2.0192 4.5902

[5]
5
Lattice="4.1486 0.0000 0.0000 0.0000 4.6890 0.0000 0.0000 0.0000 4.1486" Properties=species:S:1:pos:R:3 comment="Be2ReIrOs PBE-GGA relaxed" final_energy_ev_per_atom=-6.3143 magmom_total_mub_per_atom=0.437 n_ef_per_ev_atom=1.12 pbc="T T T"
Be 0.0000 0.0000 2.0743
Be 2.0743 0.0000 0.0000
Re 0.0000 0.0000 0.0000
Os 2.0743 2.3445 2.0743
Ir 0.0000 2.3445 0.0000

[6]
4
Lattice="4.0816 0.0000 0.0000 2.0408 3.5348 0.0000 2.0408 1.1783 3.3326" Properties=species:S:1:pos:R:3 comment="BeSiIrOs PBE-GGA relaxed" raw_formation_energy_ev_per_atom=-0.513 magmom_total_mub_per_atom=0.000 n_ef_per_ev_atom=0.35 pbc="T T T"
Os 0.0000 0.0000 0.0000
Si 6.1224 3.5348 2.4995
Ir 4.0816 2.3565 1.6663
Be 2.0408 1.1783 0.8332

[7]
5
Lattice="-4.0038 -0.3263 -2.6158 1.1550 -4.4896 -1.2078 -2.3692 -1.6401 3.8309" Properties=species:S:1:pos:R:3 comment="BeTeIrOs2 PBE-GGA relaxed" raw_formation_energy_ev_per_atom=2.471 magmom_total_mub_per_atom=0.000 n_ef_per_ev_atom=1.44 pbc="T T T"
Os -1.1846 -0.8201 1.9155
Os -2.0019 -0.1631 -1.3079
Te 0.0000 0.0000 0.0000
Ir 0.5775 -2.2448 -0.6039
Be -2.6090 -3.2280 0.0036

[8]
4
Lattice="2.7623 0.0000 0.0000 0.0000 3.1394 0.0000 0.0000 0.0000 6.8569" Properties=species:S:1:pos:R:3 comment="BeP2Ir PBE-GGA relaxed" final_energy_ev_per_atom=-5.8428 magmom_total_mub_per_atom=0.000 n_ef_per_ev_atom=0.41 pbc="T T T"
P 0.0000 0.0000 6.2826
P 1.3811 1.5697 2.4203
Be 0.0000 0.0000 3.5094
Ir 1.3811 1.5697 4.9299

[9]
4
Lattice="4.5063 0.0136 -0.0824 1.3007 4.3145 0.0824 -2.4727 -2.7421 2.5847" Properties=species:S:1:pos:R:3 comment="BeP2Ir PBE-GGA relaxed" final_energy_ev_per_atom=-5.6300 magmom_total_mub_per_atom=0.000 n_ef_per_ev_atom=0.47 pbc="T T T"
Ir 0.9024 1.8956 1.3336
P 2.4272 -0.3130 1.2511
P 5.6768 4.2311 0.0000
Be 3.0384 2.2646 0.0000

[10]
4
Lattice="4.0653 -0.0058 0.0144 3.0783 2.6554 0.0144 0.8503 0.3154 4.7064" Properties=species:S:1:pos:R:3 comment="BePIr2 PBE-GGA relaxed" e_above_lowest_polymorph_mev_per_atom=133 magmom_total_mub_per_atom=0.000 n_ef_per_ev_atom=0.42 pbc="T T T"
Ir 0.8821 0.3272 4.7019
Ir 3.9652 1.4707 2.3721
Be 5.9954 2.2237 3.5515
P 1.9985 0.7412 1.1838

[11]
6
Lattice="0.0000 3.0867 3.0867 3.0867 0.0000 3.0867 3.0867 3.0867 0.0000" Properties=species:S:1:pos:R:3 comment="Be4PIr PBE-GGA relaxed" final_energy_ev_per_atom=-5.0090 magmom_total_mub_per_atom=0.000 n_ef_per_ev_atom=0.34 pbc="T T T"
Ir 4.6300 4.6300 4.6300
Be 3.8467 3.8467 2.3266
Be 2.3266 3.8467 3.8467
Be 3.8467 2.3266 3.8467
Be 2.3266 2.3266 2.3266
P 0.0000 0.0000 0.0000

[12]
4
Lattice="-1.5238 3.5484 -1.7575 -3.7271 -0.0675 -2.0263 -3.3743 1.9297 1.7004" Properties=species:S:1:pos:R:3 comment="BePIr2 PBE-GGA relaxed" e_above_lowest_polymorph_mev_per_atom=726 magmom_total_mub_per_atom=0.000 n_ef_per_ev_atom=1.05 pbc="T T T"
Be -4.3126 2.7053 -1.0417
P -2.1563 1.3526 -0.5208
Ir -6.4689 4.0579 -1.5625
Ir 0.0000 0.0000 0.0000

[13]
4
Lattice="3.9115 0.0000 0.0000 0.0000 2.8532 0.0028 0.0000 -0.1783 4.7665" Properties=species:S:1:pos:R:3 comment="BePIr2 PBE-GGA relaxed" e_above_lowest_polymorph_mev_per_atom=342 magmom_total_mub_per_atom=0.000 n_ef_per_ev_atom=0.59 pbc="T T T"
P 1.9558 0.6687 1.1923
Ir 0.0000 -0.1386 4.7422
Ir 0.0000 1.2978 2.4090
Be 1.9558 2.0062 3.5770

[14]
4
Lattice="-2.7571 -0.1107 0.9297 1.7379 -2.3319 0.1401 2.2044 2.0503 6.7818" Properties=species:S:1:pos:R:3 comment="BeP2Ir PBE-GGA relaxed" final_energy_ev_per_atom=-5.4785 magmom_total_mub_per_atom=0.000 n_ef_per_ev_atom=0.47 pbc="T T T"
Be 0.0415 -0.7087 2.2303
P 1.0595 0.9854 3.2595
P 0.0427 0.0397 0.1314
Ir 1.1437 0.3164 5.6212

[15]
4
Lattice="5.7744 0.0087 0.0018 4.0095 4.1554 -0.0018 -4.7119 -2.5051 2.2059" Properties=species:S:1:pos:R:3 comment="BePIr2 PBE-GGA relaxed" e_above_lowest_polymorph_mev_per_atom=55 magmom_total_mub_per_atom=0.000 n_ef_per_ev_atom=0.30 pbc="T T T"
Be 2.5064 2.0413 1.1021
Ir 9.3599 3.9837 0.0000
Ir 2.6142 -0.3617 1.1038
P 5.2674 2.2419 0.0000

[16]
4
Lattice="3.6896 0.0000 0.0000 0.0000 3.6927 0.0001 0.0000 0.1177 5.0616" Properties=species:S:1:pos:R:3 comment="BeP2Ir PBE-GGA relaxed" final_energy_ev_per_atom=-5.8888 magmom_total_mub_per_atom=0.000 n_ef_per_ev_atom=0.40 pbc="T T T"
P 0.0000 3.2993 4.5352
P 1.8448 1.4611 1.7917
Be 0.0000 1.4575 3.1659
Ir 1.8448 3.3078 3.1615

[17]
8
Lattice="-3.3307 2.2691 -3.1718 -3.8859 -1.5780 2.9517 -3.2831 4.6016 2.5933" Properties=species:S:1:pos:R:3 comment="BePIr2 PBE-GGA relaxed" e_above_lowest_polymorph_mev_per_atom=436 magmom_total_mub_per_atom=0.000 n_ef_per_ev_atom=0.61 pbc="T T T"
Ir -5.2071 3.6947 1.8918
Ir -3.6989 0.4703 2.0652
Ir -3.3552 2.3488 -0.9336
Ir -8.7383 4.0716 1.7231
P -5.1111 3.6082 -0.3443
P 0.0000 0.0000 0.0000
Be -3.6083 0.3456 -0.1100
Be -5.3887 1.6846 2.7175

[18]
4
Lattice="-1.8808 -2.2100 0.2540 2.2150 -1.8912 -0.0529 0.4083 0.3167 5.7781" Properties=species:S:1:pos:R:3 comment="BePIr2 PBE-GGA relaxed" e_above_lowest_polymorph_mev_per_atom=96 magmom_total_mub_per_atom=0.000 n_ef_per_ev_atom=0.54 pbc="T T T"
P 0.2692 -1.9714 1.5451
Ir 0.4031 0.3126 5.7045
Ir 0.2094 0.1624 2.9626
Be 0.4734 -1.8131 4.4341

[19]
8
Lattice="-1.6286 4.8581 -0.8981 -3.0371 -1.7303 -3.8525 -6.0622 0.9114 0.8578" Properties=species:S:1:pos:R:3 comment="BeP2Ir PBE-GGA relaxed" final_energy_ev_per_atom=-6.0051 magmom_total_mub_per_atom=0.000 n_ef_per_ev_atom=0.58 pbc="T T T"
Be -2.3328 1.5639 -2.3753
Be -5.7161 0.3725 -2.6850
Ir 0.0000 0.0000 0.0000
Ir -5.0118 3.6667 -1.2078
P -8.5736 3.4520 -3.4430
P -3.6471 -0.1575 -2.3221
P -2.8833 2.9591 -0.8120
P -6.3518 1.8249 -1.2085

[20]
4
Lattice="3.1804 0.0000 0.0000 0.0000 3.1812 0.0000 0.0000 0.0000 5.0822" Properties=species:S:1:pos:R:3 comment="BeP2Ir PBE-GGA relaxed" final_energy_ev_per_atom=-5.5709 magmom_total_mub_per_atom=0.000 n_ef_per_ev_atom=0.72 pbc="T T T"
P 0.0000 0.0000 0.0888
P 0.0000 0.0000 2.4523
Ir 1.5902 1.5906 3.8117
Be 1.5902 1.5906 1.2706

[21]
5
Lattice="4.1270 0.0000 0.0000 0.0000 4.1270 0.0000 0.0000 0.0000 4.1270" Properties=species:S:1:pos:R:3 comment="BeP3Ir PBE-GGA relaxed" e_above_lowest_polymorph_mev_per_atom=0 magmom_total_mub_per_atom=0.000 n_ef_per_ev_atom=0.47 pbc="T T T"
P 2.0635 0.0000 0.0000
P 0.0000 0.0000 2.0635
P 0.0000 2.0635 0.0000
Be 0.0000 0.0000 0.0000
Ir 2.0635 2.0635 2.0635

[22]
4
Lattice="-2.1531 -0.0406 4.4096 -4.7935 -0.9687 0.4069 3.9732 -1.8754 -2.1861" Properties=species:S:1:pos:R:3 comment="BePIr2 PBE-GGA relaxed" e_above_lowest_polymorph_mev_per_atom=338 magmom_total_mub_per_atom=0.000 n_ef_per_ev_atom=0.77 pbc="T T T"
Be -0.8266 -1.2103 2.3159
P -3.4733 -0.5046 2.4083
Ir -2.1469 -1.6744 0.3145
Ir 0.0000 0.0000 0.0000

[23]
4
Lattice="-3.5933 -4.0898 2.2706 0.9228 -4.7585 3.3615 0.4365 5.7748 -1.1202" Properties=species:S:1:pos:R:3 comment="BeP2Ir PBE-GGA relaxed" final_energy_ev_per_atom=-5.8379 magmom_total_mub_per_atom=0.000 n_ef_per_ev_atom=0.31 pbc="T T T"
P -1.1591 -3.8406 2.4446
P -0.1761 -0.5835 0.3714
Be -2.2460 -1.3696 1.9832
Ir 0.0120 -1.7039 2.5287

[24]
4
Lattice="4.7194 0.0025 -0.0065 1.4781 4.4819 0.0065 -2.3626 -3.2596 2.4629" Properties=species:S:1:pos:R:3 comment="BePIr2 PBE-GGA relaxed" e_above_lowest_polymorph_mev_per_atom=382 magmom_total_mub_per_atom=0.000 n_ef_per_ev_atom=0.38 pbc="T T T"
Ir 2.9947 2.1669 0.0000
Ir 0.1040 0.0753 0.0000
Be 1.1071 1.7323 1.2347
P 2.7278 -0.5075 1.2282

[25]
4
Lattice="-0.4674 2.5129 1.0994 1.0343 -2.0309 1.5961 7.2516 2.1871 -1.9162" Properties=species:S:1:pos:R:3 comment="BePIr2 PBE-GGA relaxed" e_above_lowest_polymorph_mev_per_atom=427 magmom_total_mub_per_atom=0.000 n_ef_per_ev_atom=0.82 pbc="T T T"
Ir 7.1586 2.1591 -1.8916
Ir 3.7189 1.1216 -0.9827
Be 5.7222 1.8813 -0.0894
P 2.0964 0.7878 0.8687

[26]
4
Lattice="4.3661 0.0018 0.0003 3.4199 2.7142 0.0003 0.9589 0.3345 4.2395" Properties=species:S:1:pos:R:3 comment="BePIr2 PBE-GGA relaxed" e_above_lowest_polymorph_mev_per_atom=0 magmom_total_mub_per_atom=0.000 n_ef_per_ev_atom=0.27 pbc="T T T"
Be 6.5800 2.2953 3.4213
Ir 2.1944 0.7655 1.3325
Ir 0.9452 0.3297 3.8270
P 4.3568 1.5198 2.0188

[27]
4
Lattice="-0.9683 -3.8517 -0.9576 1.6743 1.7208 -3.3054 3.1227 -1.3725 0.2574" Properties=species:S:1:pos:R:3 comment="BeP2Ir PBE-GGA relaxed" final_energy_ev_per_atom=-5.6806 magmom_total_mub_per_atom=0.000 n_ef_per_ev_atom=0.42 pbc="T T T"
Be 1.0772 -2.6121 -0.3501
P 0.3530 -1.0654 -2.1315
P 0.0000 0.0000 0.0000
Ir 2.3985 0.1742 -1.5240

[28]
4
Lattice="-3.6815 -1.9156 0.0888 -1.3266 -1.7857 3.5047 -3.1582 1.6700 2.1137" Properties=species:S:1:pos:R:3 comment="BeP2Ir PBE-GGA relaxed" final_energy_ev_per_atom=-5.4749 magmom_total_mub_per_atom=0.000 n_ef_per_ev_atom=0.38 pbc="T T T"
P 0.0000 0.0000 0.0000
P -2.0416 -0.5078 1.4268
Ir -6.1247 -1.5235 4.2804
Be -4.0831 -1.0157 2.8536

[29]
4
Lattice="-0.7291 4.0140 0.1180 -3.7029 -1.5809 -0.6687 1.7249 -1.3983 3.4245" Properties=species:S:1:pos:R:3 comment="BeP2Ir PBE-GGA relaxed" final_energy_ev_per_atom=-5.6673 magmom_total_mub_per_atom=0.000 n_ef_per_ev_atom=0.32 pbc="T T T"
P 0.0000 0.0000 0.0000
P -2.2160 1.2165 -0.2753
Be -2.0970 -0.8814 1.2402
Ir -0.6101 1.9161 1.6336